DFT (GGA+U) results for Mn3WCl2O6 after structural relaxation.

```
data_Mn3WCl2O6
_cell_length_a 10.3257
_cell_length_b 6.2030
_cell_length_c 5.5622
_cell_angle_alpha 90.00
_cell_angle_beta 101.79
_cell_angle_gamma 90.00
_symmetry_space_group_name_H-M 'C 1 2/m 1'
_symmetry_Int_Tables_number 12
loop_
_symmetry_equiv_pos_as_xyz
'x,y,z'
'-x,-y,-z'
'-x,y,-z'
'x,-y,z'
'x+1/2,y+1/2,z'
'-x+1/2,-y+1/2,-z'
'-x+1/2,y+1/2,-z'
'x+1/2,-y+1/2,z'
loop_
_atom_site_label
_atom_site_fract_x
_atom_site_fract_y
_atom_site_fract_z
Mn1 0.0000 0.0000 0.0000
Mn2 0.2500 0.2500 0.5000
W1 0.0000 0.5000 0.5000
Cl1 0.1969 0.0000 0.8238
O1 0.0658 0.2706 0.3098
O2 0.1886 0.5000 0.6690
```

Summary:
**Calculated density**: 4910 kg/m³
**E**: -6.75 eV per atom